YWAu3 | PBE | relaxed

Lattice parameters (Å, degrees): 5.0345 5.0345 5.0345 90.00 90.00 90.00
Atoms (fractional coordinates):
Y 0.5000 0.5000 0.5000
Au 0.0000 0.5000 0.0000
Au 0.0000 0.0000 0.5000
Au 0.5000 0.0000 0.0000
W 0.0000 0.0000 0.0000

Calculated values
Volume: 127.60 Å³ per cell
Magnetization: 0.00 μB per formula unit
DFT formation energy: 0.55 eV per atom